Entry from Alexandria via LeMat-Bulk: a geometry-optimized MnZnAg4 structure (PBE).

Computed properties:
energy relative to the elements: 0.3405 eV per atom
E: -19.81 eV for the cell shown

Cell lengths 5.433, 5.433, 5.433 Å; angles 60.00, 60.00, 60.00 degrees
Last column: magnetic moment on the atom in μB.
Positions (direct):
Mn  0.250  0.250  0.250  4.18
Zn  0.000  0.000  0.000  -0.03
Ag  0.625  0.625  0.125  0.00
Ag  0.625  0.125  0.625  0.00
Ag  0.625  0.625  0.625  0.00
Ag  0.125  0.625  0.625  0.00

Entry from Alexandria via LeMat-Bulk: a geometry-optimized AlTcBr structure (PBE).

Computed properties:
energy relative to the lowest polymorph listed for this composition: 213 meV per atom
E: -14.37 eV for the cell shown
formation energy without anion corrections: 1.4 eV/f.u.

Cell lengths 6.872, 6.525, 3.117 Å; angles 82.84, 70.41, 26.75 degrees
Last column: magnetic moment on the atom in μB.
Positions (direct):
Tc  0.656  0.656  0.344  0.36
Br  0.336  0.336  0.664  0.01
Al  0.008  0.008  0.992  -0.01

Entry from Alexandria via LeMat-Bulk: a geometry-optimized Sr2CePmAs4 structure (PBE).

Computed properties:
energy relative to the elements: -1.2380 eV per atom
E: -42.55 eV for the cell shown

Cell lengths 4.334, 7.519, 7.589 Å; angles 109.35, 90.00, 90.00 degrees
Positions (direct):
Sr  0.500  0.000  0.500
Sr  0.000  0.500  0.500
Ce  0.000  0.000  0.000
Pm  0.500  0.500  0.000
As  0.500  0.236  0.222
As  0.500  0.764  0.778
As  0.000  0.254  0.774
As  0.000  0.746  0.226

Entry from Alexandria via LeMat-Bulk: a geometry-optimized LaPrHgPd structure (PBE).

Computed properties:
energy relative to the elements: -0.5620 eV per atom
E: -17.45 eV for the cell shown

Cell lengths 5.347, 5.347, 5.347 Å; angles 60.00, 60.00, 60.00 degrees
Positions (direct):
Pr  0.500  0.500  0.500
Hg  0.250  0.250  0.250
Pd  0.750  0.750  0.750
La  0.000  0.000  0.000

Entry from Alexandria via LeMat-Bulk: a geometry-optimized Sr3LaFe structure (PBE).

Computed properties:
energy relative to the lowest polymorph listed for this composition: 888 meV per atom
energy relative to the elements: 1.4087 eV per atom
E: -11.39 eV for the cell shown

Cell lengths 6.133, 6.133, 6.133 Å; angles 90.00, 90.00, 90.00 degrees
Last column: magnetic moment on the atom in μB.
Positions (direct):
Sr  0.000  0.500  0.000  0.04
Sr  0.000  0.000  0.500  0.08
Sr  0.500  0.000  0.000  0.01
Fe  0.500  0.500  0.500  3.31
La  0.000  0.000  0.000  0.33

Entry from Alexandria via LeMat-Bulk: a geometry-optimized PmZn5Ga7 structure (PBE).

Computed properties:
energy relative to the elements: -0.1242 eV per atom
E: -33.92 eV for the cell shown

Cell lengths 5.791, 6.975, 6.975 Å; angles 80.14, 65.47, 65.47 degrees
Positions (direct):
Pm  0.999  0.001  0.001
Zn  0.502  0.998  0.502
Zn  0.998  0.998  0.502
Zn  0.502  0.502  0.998
Zn  0.998  0.502  0.998
Zn  0.721  0.779  0.779
Ga  0.647  0.353  0.353
Ga  0.354  0.646  0.646
Ga  0.999  0.353  0.650
Ga  0.999  0.650  0.353
Ga  0.279  0.221  0.221
Ga  0.501  0.796  0.202
Ga  0.501  0.202  0.796

Entry from Alexandria via LeMat-Bulk: a geometry-optimized CeDyCuTc structure (PBE).

Computed properties:
energy relative to the elements: -0.0834 eV per atom
E: -25.33 eV for the cell shown

Cell lengths 4.894, 4.894, 4.894 Å; angles 60.00, 60.00, 60.00 degrees
Positions (direct):
Cu  0.250  0.250  0.250
Tc  0.750  0.750  0.750
Ce  0.500  0.500  0.500
Dy  0.000  0.000  0.000

Entry from Alexandria via LeMat-Bulk: a geometry-optimized Cs12K7H structure (PBE).

Computed properties:
E: -21.33 eV for the cell shown

Cell lengths 13.441, 13.441, 13.441 Å; angles 110.78, 110.78, 110.78 degrees
Positions (direct):
Cs  0.760  0.387  0.334
Cs  0.613  0.666  0.240
Cs  0.978  0.732  0.834
Cs  0.268  0.166  0.022
Cs  0.666  0.240  0.613
Cs  0.166  0.022  0.268
Cs  0.834  0.978  0.732
Cs  0.334  0.760  0.387
Cs  0.732  0.834  0.978
Cs  0.022  0.268  0.166
Cs  0.387  0.334  0.760
Cs  0.240  0.613  0.666
K  0.538  0.076  0.865
K  0.924  0.135  0.462
K  0.135  0.462  0.924
K  0.500  0.500  0.500
K  0.865  0.538  0.076
K  0.076  0.865  0.538
K  0.462  0.924  0.135
H  0.000  0.000  0.000

Entry from Alexandria via LeMat-Bulk: a geometry-optimized Mg14ZnSi structure (PBE).

Computed properties:
E: -28.73 eV for the cell shown
formation energy without anion corrections: 0.3 eV/f.u.

Cell lengths 6.301, 6.301, 9.953 Å; angles 90.00, 90.00, 118.88 degrees
Positions (direct):
Mg  0.836  0.164  0.000
Mg  0.336  0.664  0.000
Mg  0.348  0.153  0.500
Mg  0.332  0.168  0.000
Mg  0.847  0.652  0.500
Mg  0.832  0.668  0.000
Mg  0.162  0.339  0.273
Mg  0.162  0.339  0.727
Mg  0.661  0.838  0.273
Mg  0.661  0.838  0.727
Mg  0.666  0.334  0.253
Mg  0.666  0.334  0.747
Mg  0.166  0.834  0.254
Mg  0.166  0.834  0.746
Zn  0.830  0.170  0.500
Si  0.328  0.672  0.500

Entry from Alexandria via LeMat-Bulk: a geometry-optimized YMnFe2 structure (PBE).

Computed properties:
energy relative to the lowest polymorph listed for this composition: 216 meV per atom
energy relative to the elements: 0.3376 eV per atom
E: -31.21 eV for the cell shown

Cell lengths 6.946, 4.073, 3.871 Å; angles 89.99, 56.15, 126.00 degrees
Last column: magnetic moment on the atom in μB.
Positions (direct):
Fe  0.000  0.000  0.000  2.37
Fe  0.500  0.000  0.500  2.37
Mn  0.000  0.500  0.500  3.25
Y  0.500  0.500  0.000  -0.26

Entry from Alexandria via LeMat-Bulk: a geometry-optimized NaNbRe2 structure (PBE).

Computed properties:
energy relative to the lowest polymorph listed for this composition: 0 meV per atom
energy relative to the elements: 0.8792 eV per atom
E: -32.77 eV for the cell shown

Cell lengths 4.532, 4.532, 4.532 Å; angles 60.00, 60.00, 60.00 degrees
Positions (direct):
Re  0.250  0.250  0.250
Re  0.750  0.750  0.750
Nb  0.500  0.500  0.500
Na  0.000  0.000  0.000

Entry from Alexandria via LeMat-Bulk: a geometry-optimized AcY2ZnN4 structure (PBE).

Computed properties:
E: -119.66 eV for the cell shown
formation energy without anion corrections: -8.2 eV/f.u.

Cell lengths 3.521, 6.132, 11.847 Å; angles 90.00, 90.00, 106.69 degrees
Positions (direct):
Ac  0.105  0.210  0.750
Ac  0.895  0.790  0.250
Y  0.368  0.737  0.550
Y  0.632  0.263  0.050
Y  0.632  0.263  0.450
Y  0.368  0.737  0.950
Zn  0.839  0.678  0.750
Zn  0.161  0.322  0.250
N  0.266  0.532  0.117
N  0.734  0.468  0.617
N  0.734  0.468  0.883
N  0.266  0.532  0.383
N  0.000  0.000  0.500
N  0.000  0.000  0.000
N  0.437  0.874  0.750
N  0.563  0.126  0.250

Number 1: DOS at the Fermi energy 3.96 states/eV/f.u.. Number 2: DOS at the Fermi energy 2.75 states/eV/f.u.. Number 3: DOS at the Fermi energy 8.07 states/eV/f.u.. Number 4: DOS at the Fermi energy 3.52 states/eV/f.u.. Number 5: DOS at the Fermi energy 13.97 states/eV/f.u.. Number 6: DOS at the Fermi energy 3.80 states/eV/f.u.. Number 7: DOS at the Fermi energy 4.25 states/eV/f.u.. Number 8: DOS at the Fermi energy 18.44 states/eV/f.u.. Number 9: DOS at the Fermi energy 7.67 states/eV/f.u.. Number 10: DOS at the Fermi energy 4.63 states/eV/f.u.. Number 11: DOS at the Fermi energy 3.94 states/eV/f.u.. Number 12: DOS at the Fermi energy 6.10 states/eV/f.u..